[1]
First-principles (GGA-PBE) data for SrNd2O2 after structural relaxation, as listed in OQMD.

Cell: 6.2454 10.6992 3.2093 Å, 90.00 90.00 90.00°
With the nearest neighbours (Å) after each atom.
Space group Pbam (No. 55)
Symmetry-distinct sites (fractional):
1 Sr 0.0000 0.0000 0.0000 [2 per cell]  4 O 2.63
2 Nd 0.0531 0.3199 0.0000 [4 per cell]  4 O 2.50-2.52
3 O 0.1353 0.8222 0.5000 [4 per cell]  4 Nd 2.50-2.52, 2 Sr 2.63

Results
Its energy is -6.096 eV per atom.


[2]
First-principles (GGA-PBE) data for SrNd2O4 after structural relaxation, as listed in OQMD.

Cell: 10.1267 10.1267 10.1267 Å, 90.00 90.00 90.00°
With the nearest neighbours (Å) after each atom.
Space group Fd-3m (No. 227, origin choice 2)
Symmetry-distinct sites (fractional):
1 Sr 0.1250 0.1250 0.1250 [8 per cell]  4 O 2.44
2 Nd 0.0000 0.0000 0.5000 [16 per cell]  6 O 2.40
3 O 0.0143 0.0143 0.7357 [32 per cell]  3 Nd 2.40, 1 Sr 2.44

Results
Its energy is -7.583 eV per atom.


[3]
First-principles (GGA-PBE) data for NdTa2O4 after structural relaxation, as listed in OQMD.

Cell: 9.1927 9.1927 9.1927 Å, 90.00 90.00 90.00°
With the nearest neighbours (Å) after each atom.
Space group Fd-3m (No. 227, origin choice 2)
Symmetry-distinct sites (fractional):
1 Nd 0.1250 0.1250 0.1250 [8 per cell]  4 O 2.25
2 Ta 0.0000 0.0000 0.5000 [16 per cell]  6 O 2.16
3 O 0.0161 0.0161 0.7339 [32 per cell]  3 Ta 2.16, 1 Nd 2.25

Results
Its energy is -8.910 eV per atom.


[4]
First-principles (GGA-PBE) data for Nd2Ta2O5 after structural relaxation, as listed in OQMD.

Cell: 4.0621 4.0621 7.1468 Å, 90.00 90.00 90.00°
With the nearest neighbours (Å) after each atom.
Space group P4/mmm (No. 123)
Symmetry-distinct sites (fractional):
1 Nd 0.0000 0.0000 0.0000 [1 per cell]  8 O 2.69
2 Nd 0.0000 0.0000 0.5000 [1 per cell]  12 O 2.72-2.87
3 Ta 0.5000 0.5000 0.1991 [2 per cell]  5 O 2.06-2.15
4 O 0.0000 0.5000 0.2477 [4 per cell]  2 Ta 2.06
5 O 0.5000 0.5000 0.5000 [1 per cell]  2 Ta 2.15

Results
Its distance to the lowest polymorph of the same formula is 0 meV per atom. Its energy is -8.892 eV per atom.


[5]
First-principles (GGA-PBE) data for NdTa3O9 after structural relaxation, as listed in OQMD.

Cell: 5.3904 7.5396 8.2026 Å, 90.00 92.40 90.00°
With the nearest neighbours (Å) after each atom.
Space group P2_1/m (No. 11)
Symmetry-distinct sites (fractional):
1 Nd 0.0340 0.2500 0.4352 [2 per cell]  8 O 2.42-2.52
2 Ta 0.0000 0.0000 0.0000 [2 per cell]  6 O 1.96-2.02
3 Ta 0.4719 0.0071 0.6996 [4 per cell]  5 O 1.85-2.02
4 O 0.0917 0.2500 0.9801 [2 per cell]  2 Ta 1.96
5 O 0.1492 0.5594 0.7849 [4 per cell]  2 Ta 1.97-2.02
6 O 0.2650 0.5400 0.4658 [4 per cell]  2 Ta 2.02-2.21
7 O 0.3223 0.5521 0.1183 [4 per cell]  2 Ta 1.85-1.99
8 O 0.3452 0.2500 0.6606 [2 per cell]  2 Ta 1.98
9 O 0.4375 0.2500 0.3093 [2 per cell]  2 Ta 2.00

Results
Its energy is -9.556 eV per atom.


[6]
First-principles (GGA-PBE) data for NdTa7O19 after structural relaxation, as listed in OQMD.

Cell: 6.2280 6.2280 19.9686 Å, 90.00 90.00 120.00°
With the nearest neighbours (Å) after each atom.
Space group P-6c2 (No. 188)
Symmetry-distinct sites (fractional):
1 Nd 0.0000 0.0000 0.0000 [2 per cell]  8 O 2.44-2.59
2 Ta 0.0275 0.3333 0.1558 [12 per cell]  6 O 1.91-2.06
3 Ta 0.3333 0.6667 0.0000 [2 per cell]  6 O 1.99
4 O 0.0000 0.0000 0.1298 [4 per cell]  3 Ta 2.06
5 O 0.0418 0.2840 0.2500 [6 per cell]  2 Ta 1.91
6 O 0.0921 0.3847 0.0563 [12 per cell]  2 Ta 1.99-2.02
7 O 0.3333 0.6667 0.1690 [4 per cell]  3 Ta 2.01
8 O 0.4187 0.0854 0.6534 [12 per cell]  2 Ta 1.99

Results
Its energy is -9.663 eV per atom.


[7]
First-principles (GGA-PBE) data for Nd2Ta2O5 after structural relaxation, as listed in OQMD.

Cell: 3.5004 3.5004 10.3655 Å, 90.00 90.00 90.00°
With the nearest neighbours (Å) after each atom.
Space group P4/mmm (No. 123)
Symmetry-distinct sites (fractional):
1 Nd 0.0000 0.0000 0.2344 [2 per cell]  5 O 2.35-2.43
2 Ta 0.5000 0.5000 0.0000 [1 per cell]  4 O 2.48
3 Ta 0.5000 0.5000 0.5000 [1 per cell]  8 O 2.12
4 O 0.0000 0.0000 0.0000 [1 per cell]  2 Nd 2.43, 4 Ta 2.48
5 O 0.0000 0.5000 0.3853 [4 per cell]  2 Ta 2.12, 2 Nd 2.35

Results
Its distance to the lowest polymorph of the same formula is 353 meV per atom. Its energy is -8.539 eV per atom.


[8]
First-principles (GGA-PBE) data for Nd2TmTaO6 after structural relaxation, as listed in OQMD.

Cell: 5.0845 5.4040 5.4804 Å, 102.93 103.58 101.57°
With the nearest neighbours (Å) after each atom.
Space group P-1 (No. 2)
Symmetry-distinct sites (fractional):
1 Nd 0.2480 0.4844 0.2391 [2 per cell]  5 O 2.43-2.65
2 Tm 0.0000 0.0000 0.5000 [1 per cell]  6 O 2.17-2.25
3 Ta 0.5000 0.0000 0.0000 [1 per cell]  6 O 1.99-2.05
4 O 0.2029 0.7256 0.6830 [2 per cell]  1 Ta 2.05, 1 Tm 2.25
5 O 0.2404 0.9887 0.2214 [2 per cell]  1 Ta 1.99, 1 Tm 2.17
6 O 0.3460 0.2649 0.8432 [2 per cell]  1 Ta 2.02, 1 Tm 2.22

Results
Its energy is -8.455 eV per atom.